First-principles (PBE) data for a relaxed structure of KSr3Ir, as listed in the Alexandria database.

Properties
SG = No. 194
Density = 2.97 Mg/m³
VASP energy = -28.08 eV per cell
V = 55.32 A^3/atom
Calculated formation energy = 0.193 eV/atom
D(E_F) = 5.846 states/eV per cell
ΔE to the lowest computed polymorph = 0.2929 eV per atom

a = 5.0149 Å, b = 5.0149 Å, c = 25.4016 Å
α = 90.00°, β = 90.00°, γ = 120.00°
Closest atoms and distances in Å follow each position.
Fractional coordinates of all 10 atoms:
Sr (0.0000, 0.0000, 0.2500)  3 Ir 2.90
Sr (0.0000, 0.0000, 0.7500)  3 Ir 2.90
Sr (0.3333, 0.6667, 0.8617)  1 Ir 2.84
Sr (0.3333, 0.6667, 0.6383)  1 Ir 2.84
Sr (0.6667, 0.3333, 0.3617)  1 Ir 2.84
Sr (0.6667, 0.3333, 0.1383)  1 Ir 2.84
K (0.0000, 0.0000, 0.0000)  6 Sr 4.55, 6 K 5.01
K (0.0000, 0.0000, 0.5000)  6 Sr 4.55, 6 K 5.01
Ir (0.3333, 0.6667, 0.7500)  5 Sr 2.84-2.90
Ir (0.6667, 0.3333, 0.2500)  5 Sr 2.84-2.90